# 1
Density functional theory data (PBE) for a geometry-optimized CsErSn structure.

Values from the calculation:
The value obtained for the total energy is -8.8 eV/f.u. As for the space-group type: P-6m2.

a b c (Å): 3.375 9.873 9.873
angles (deg): 119.98 90.00 90.00
Fractional positions:
Cs  0.000  0.000  0.000
Cs  0.000  0.667  0.333
Cs  0.000  0.333  0.667
Er  0.000  0.333  0.000
Er  0.000  0.000  0.333
Er  0.000  0.667  0.667
Sn  0.500  0.667  0.000
Sn  0.500  0.333  0.333
Sn  0.500  0.000  0.667

***

# 2
Density functional theory data (PBE) for a geometry-optimized CsErSn structure.

Values from the calculation:
The value obtained for the total energy is -6.9 eV/f.u. As for the space-group type: F-43m.

a b c (Å): 5.504 5.504 5.504
angles (deg): 60.00 60.00 60.00
Fractional positions:
Cs  0.000  0.000  0.000
Er  0.750  0.750  0.750
Sn  0.250  0.250  0.250

***

# 3
Density functional theory data (PBE) for a geometry-optimized CsSrErTe3 structure.

Values from the calculation:
The value obtained for the total energy is -24.8 eV/f.u. As for the space-group type: Cmcm.

a b c (Å): 9.080 9.080 13.047
angles (deg): 90.00 90.00 148.30
Fractional positions:
Cs  0.750  0.250  0.250
Cs  0.250  0.750  0.750
Er  0.471  0.529  0.250
Er  0.529  0.471  0.750
Sr  0.000  0.000  0.000
Sr  0.000  0.000  0.500
Te  0.378  0.622  0.069
Te  0.066  0.934  0.250
Te  0.378  0.622  0.431
Te  0.622  0.378  0.569
Te  0.934  0.066  0.750
Te  0.622  0.378  0.931

***

# 4
Density functional theory data (PBE) for a geometry-optimized CsTbEr structure.

Values from the calculation:
The value obtained for the total energy is -6.2 eV/f.u. As for the space-group type: F-43m.

a b c (Å): 5.538 5.538 5.538
angles (deg): 60.00 60.00 60.00
Fractional positions:
Cs  0.000  0.000  0.000
Er  0.750  0.750  0.750
Tb  0.250  0.250  0.250

***

# 5
Density functional theory data (PBE) for a geometry-optimized Cs2TbErTe4 structure.

Values from the calculation:
The value obtained for the total energy is -34.5 eV/f.u. As for the space-group type: P-3m1.

a b c (Å): 4.542 4.542 17.801
angles (deg): 90.00 90.00 120.00
Fractional positions:
Cs  0.667  0.333  0.249
Cs  0.333  0.667  0.751
Er  0.000  0.000  0.000
Tb  0.000  0.000  0.500
Te  0.333  0.667  0.094
Te  0.333  0.667  0.404
Te  0.667  0.333  0.596
Te  0.667  0.333  0.906

***

# 6
Density functional theory data (PBE) for a geometry-optimized CsErTe structure.

Values from the calculation:
The value obtained for the total energy is -7.2 eV/f.u. As for the space-group type: F-43m.

a b c (Å): 5.912 5.912 5.912
angles (deg): 60.00 60.00 60.00
Fractional positions:
Cs  0.000  0.000  0.000
Er  0.750  0.750  0.750
Te  0.250  0.250  0.250

***

# 7
Density functional theory data (PBE) for a geometry-optimized CsErTe structure.

Values from the calculation:
The value obtained for the total energy is -8.6 eV/f.u. As for the space-group type: F-43m.

a b c (Å): 5.685 5.685 5.685
angles (deg): 60.00 60.00 60.00
Fractional positions:
Cs  0.250  0.250  0.250
Er  0.750  0.750  0.750
Te  0.000  0.000  0.000

***

# 8
Density functional theory data (PBE) for a geometry-optimized CsErTmTe3 structure.

Values from the calculation:
The value obtained for the total energy is -26.6 eV/f.u. As for the space-group type: Cmcm.

a b c (Å): 9.108 9.108 11.809
angles (deg): 90.00 90.00 150.43
Fractional positions:
Cs  0.244  0.756  0.250
Cs  0.756  0.244  0.750
Er  0.500  0.500  0.000
Er  0.500  0.500  0.500
Te  0.881  0.119  0.041
Te  0.564  0.436  0.250
Te  0.881  0.119  0.459
Te  0.119  0.881  0.541
Te  0.436  0.564  0.750
Te  0.119  0.881  0.959
Tm  0.965  0.035  0.250
Tm  0.035  0.965  0.750

***

# 9
Density functional theory data (PBE) for a geometry-optimized CsErZnTe3 structure.

Values from the calculation:
The value obtained for the total energy is -22.6 eV/f.u. As for the space-group type: P2_1/m.

a b c (Å): 10.250 4.425 10.892
angles (deg): 90.00 112.05 90.00
Fractional positions:
Cs  0.723  0.250  0.253
Cs  0.277  0.750  0.747
Er  0.172  0.250  0.134
Er  0.828  0.750  0.866
Te  0.384  0.750  0.136
Te  0.979  0.750  0.163
Te  0.298  0.250  0.452
Te  0.702  0.750  0.548
Te  0.021  0.250  0.837
Te  0.616  0.250  0.864
Zn  0.418  0.750  0.389
Zn  0.582  0.250  0.611

***

# 10
Density functional theory data (PBE) for a geometry-optimized CsErZnTe3 structure.

Values from the calculation:
The value obtained for the total energy is -22.7 eV/f.u. As for the space-group type: Cmcm.

a b c (Å): 8.903 8.903 11.654
angles (deg): 90.00 90.00 151.33
Fractional positions:
Cs  0.753  0.247  0.250
Cs  0.247  0.753  0.750
Er  0.500  0.500  0.000
Er  0.500  0.500  0.500
Te  0.118  0.882  0.057
Te  0.440  0.560  0.250
Te  0.118  0.882  0.443
Te  0.882  0.118  0.557
Te  0.560  0.440  0.750
Te  0.882  0.118  0.943
Zn  0.036  0.964  0.250
Zn  0.964  0.036  0.750

***

# 11
Density functional theory data (PBE) for a geometry-optimized CsErZnTe3 structure.

Values from the calculation:
The value obtained for the total energy is -22.7 eV/f.u. As for the space-group type: Pnma.

a b c (Å): 11.664 4.405 17.162
angles (deg): 90.00 90.00 90.00
Fractional positions:
Cs  0.745  0.250  0.004
Cs  0.245  0.250  0.496
Cs  0.755  0.750  0.504
Cs  0.255  0.750  0.996
Er  0.508  0.750  0.250
Er  0.008  0.750  0.250
Er  0.992  0.250  0.750
Er  0.492  0.250  0.750
Te  0.452  0.250  0.130
Te  0.062  0.250  0.130
Te  0.758  0.750  0.191
Te  0.258  0.750  0.309
Te  0.562  0.250  0.370
Te  0.952  0.250  0.370
Te  0.048  0.750  0.630
Te  0.438  0.750  0.630
Te  0.742  0.250  0.691
Te  0.242  0.250  0.809
Te  0.938  0.750  0.870
Te  0.548  0.750  0.870
Zn  0.257  0.250  0.211
Zn  0.757  0.250  0.289
Zn  0.243  0.750  0.711
Zn  0.743  0.750  0.789

***

# 12
Density functional theory data (PBE) for a geometry-optimized CsErTl structure.

Values from the calculation:
The value obtained for the total energy is -6.2 eV/f.u. As for the space-group type: F-43m.

a b c (Å): 5.752 5.752 5.752
angles (deg): 60.00 60.00 60.00
Fractional positions:
Cs  0.250  0.250  0.250
Er  0.750  0.750  0.750
Tl  0.000  0.000  0.000